(1)
First-principles (PBE-GGA) data for a relaxed structure of Na5Tl2Sn2, as listed in Alexandria via LeMat-Bulk.

POSCAR file:
```
Na5Tl2Sn2
1.0
5.705 -2.398 0.000
5.705 2.398 0.000
-1.431 0.000 9.671
Na Tl Sn
5 2 2
Direct
0.000 0.000 0.000
0.071 0.071 0.659
0.380 0.380 0.780
0.620 0.620 0.220
0.929 0.929 0.341
0.322 0.322 0.103
0.678 0.678 0.897
0.228 0.228 0.406
0.772 0.772 0.594
```

**Energy**: -0.08356 hartree per atom
**Mass density**: 4.78 g/cm³
**Formation enthalpy at 0 K**: -126 meV/atom

---

(2)
First-principles (PBE-GGA) data for a relaxed structure of CoSn2Pt, as listed in Alexandria via LeMat-Bulk.

POSCAR file:
```
CoSn2Pt
1.0
-3.599 3.599 2.972
3.599 -3.599 2.972
3.599 3.599 -2.972
Co Sn Pt
2 4 2
Direct
0.000 0.000 0.000
0.750 0.250 0.500
0.106 0.125 0.481
0.375 0.894 0.019
0.644 0.625 0.519
0.875 0.356 0.981
0.250 0.750 0.500
0.500 0.500 0.000
```

**Energy**: -0.18746 hartree per atom
**Mass density**: 10.60 g/cm³
**Formation enthalpy at 0 K**: 187 meV/atom

---

Q: Look up the formation enthalpy at 0 K of the second one.
A: 187 meV/atom

---

Copy entry 1 word for word.
First-principles (PBE-GGA) data for a relaxed structure of Na5Tl2Sn2, as listed in Alexandria via LeMat-Bulk.

POSCAR file:
```
Na5Tl2Sn2
1.0
5.705 -2.398 0.000
5.705 2.398 0.000
-1.431 0.000 9.671
Na Tl Sn
5 2 2
Direct
0.000 0.000 0.000
0.071 0.071 0.659
0.380 0.380 0.780
0.620 0.620 0.220
0.929 0.929 0.341
0.322 0.322 0.103
0.678 0.678 0.897
0.228 0.228 0.406
0.772 0.772 0.594
```

**Energy**: -0.08356 hartree per atom
**Mass density**: 4.78 g/cm³
**Formation enthalpy at 0 K**: -126 meV/atom